This record from the Alexandria database describes BaY2P2 after structural relaxation. The functional is PBE.

Cell: 5.245 5.245 6.754 Å, 67.15 67.15 90.00°
Positions (direct):
Y1 0.323 0.323 0.353
Y2 0.677 0.677 0.647
P1 0.750 0.250 0.500
P2 0.250 0.750 0.500
Ba1 0.000 0.000 0.000

Values from the calculation:
The energy above the most stable polymorph in this dataset is 0.000 eV per atom. The value obtained for the electronic total energy is -6.133 eV/atom. As for the symmetry: I4/mmm (139). As for the formation energy from the elements: -5.0 eV per formula unit.